# 1
VASP calculation (PBE with a Hubbard U) on an optimized crystal structure of MgV2CdO6.

DFT total energy (eV per atom): -6.6259
Density (Mg/m³): 4.0
Total magnetization (μB/cell): 4.0

Geometry as POSCAR:
```
MgV2CdO6
1.0
-5.204 1.141 -2.962
-1.726 -6.018 -3.524
-5.222 -0.011 4.933
O V Mg Cd
12 4 2 2
Cartesian
-4.258 -3.945 0.354
-2.421 -0.877 -1.461
-6.595 -5.500 0.097
-9.731 -4.012 -0.092
-7.893 -0.943 -1.906
-4.952 -2.096 -1.246
-5.599 -4.592 -2.380
-2.309 -3.687 -1.663
-9.842 -1.201 0.111
-7.199 -2.792 -0.306
-6.553 -0.296 0.828
-5.557 0.612 -1.649
-6.350 -0.891 -0.797
-3.158 -2.475 -0.744
-5.802 -3.997 -0.756
-8.994 -2.413 -0.809
-6.288 -4.029 -4.150
-5.864 -0.859 2.597
-8.798 0.283 1.922
-3.353 -5.171 -3.474
```



# 2
VASP calculation (PBE with a Hubbard U) on an optimized crystal structure of MgCdMoO4.

DFT total energy (eV per atom): -5.9344
Density (Mg/m³): 5.3
Total magnetization (μB/cell): 4.0

Geometry as POSCAR:
```
MgCdMoO4
1.0
6.423 0.000 0.000
-3.212 5.544 -0.291
0.000 -3.251 5.347
O Cd Mo Mg
8 2 2 2
Cartesian
1.655 2.885 3.585
0.000 0.345 3.714
4.866 -0.592 1.471
3.212 0.461 3.785
0.000 1.831 1.271
-1.655 2.885 3.585
1.557 -0.592 1.471
3.212 1.947 1.342
3.212 -1.626 2.673
3.212 0.000 0.000
-1.606 1.146 2.528
1.606 1.146 2.528
3.212 3.859 0.516
0.000 -1.567 4.540
```